DFT (GGA-PBE) results for a relaxed BaAc2DyHg4 crystal.

Output
Uncorrected energy = -19.5 eV per cell
ΔH_f (0 K) = -0.45 eV per atom
Magnetization = 0.00 μB/f.u.

abc: 9.898 9.898 9.898
angles: 33.09 33.09 33.09
Sites, in units of the cell vectors:
1 Ba 0.000 0.000 0.000
2 Ac 0.248 0.248 0.248
3 Ac 0.752 0.752 0.752
4 Dy 0.500 0.500 0.500
5 Hg 0.129 0.129 0.129
6 Hg 0.384 0.384 0.384
7 Hg 0.616 0.616 0.616
8 Hg 0.871 0.871 0.871

DFT (GGA-PBE) results for a relaxed BaAcDyIn crystal.

Output
Uncorrected energy = -13.1 eV per cell
ΔH_f (0 K) = 0.07 eV per atom
Magnetization = 0.01 μB/f.u.

abc: 5.926 5.926 5.926
angles: 60.00 60.00 60.00
Sites, in units of the cell vectors:
1 Ba 0.000 0.000 0.000
2 Ac 0.250 0.250 0.250
3 Dy 0.500 0.500 0.500
4 In 0.750 0.750 0.750

DFT (GGA-PBE) results for a relaxed BaAcDyO4 crystal.

Output
Uncorrected energy = -103.9 eV per cell
Formation energy (no corrections) = -21.50 eV per formula unit
Magnetization = 0.00 μB/f.u.

abc: 7.310 7.310 6.255
angles: 90.00 90.00 129.96
Sites, in units of the cell vectors:
1 Ba 0.103 0.897 0.750
2 Ba 0.897 0.103 0.250
3 Ac 0.388 0.612 0.750
4 Ac 0.612 0.388 0.250
5 Dy 0.251 0.749 0.250
6 Dy 0.749 0.251 0.750
7 O 0.000 0.500 0.000
8 O 0.000 0.500 0.500
9 O 0.084 0.916 0.250
10 O 0.436 0.564 0.250
11 O 0.500 0.000 0.000
12 O 0.500 0.000 0.500
13 O 0.564 0.436 0.750
14 O 0.916 0.084 0.750

no.,density of states at the Fermi level (states/eV per cell)
1,6.32
2,5.62
3,0.00